1.
Compound: ZrZnBr2
Source: Alexandria
Functional: GGA-PBE
Structure: optimized geometry

Calculated values
Fermi-level density of states: 0.3938 states/eV per atom
electronic total energy: -13.8 eV/f.u.

abc: 7.086 7.086 7.086
angles: 90.00 90.00 90.00
Sites, in units of the cell vectors:
Zr: 0.000 0.000 0.000
Zr: 0.000 0.500 0.500
Zr: 0.500 0.000 0.500
Zr: 0.500 0.500 0.000
Zn: 0.000 0.000 0.500
Zn: 0.000 0.500 0.000
Zn: 0.500 0.000 0.000
Zn: 0.500 0.500 0.500
Br: 0.250 0.250 0.250
Br: 0.250 0.250 0.750
Br: 0.250 0.750 0.250
Br: 0.250 0.750 0.750
Br: 0.750 0.250 0.250
Br: 0.750 0.250 0.750
Br: 0.750 0.750 0.250
Br: 0.750 0.750 0.750


2.
Compound: Ti2In2Cu
Source: Alexandria
Functional: GGA-PBE
Structure: optimized geometry

Calculated values
Fermi-level density of states: 0.8351 states/eV per atom
E_form: 134 meV per atom
electronic total energy: -24.7 eV/f.u.

abc: 6.603 6.603 4.526
angles: 90.00 90.00 90.00
Sites, in units of the cell vectors:
Ti: 0.142 0.358 0.000
Ti: 0.358 0.858 0.000
Ti: 0.642 0.142 0.000
Ti: 0.858 0.642 0.000
In: 0.165 0.665 0.500
In: 0.335 0.165 0.500
In: 0.665 0.835 0.500
In: 0.835 0.335 0.500
Cu: 0.000 0.000 0.000
Cu: 0.500 0.500 0.000


3.
Compound: KDyPdCl6
Source: Alexandria
Functional: GGA-PBE
Structure: optimized geometry

Calculated values
electronic total energy: -36.1 eV/f.u.

abc: 6.715 6.715 7.095
angles: 90.00 90.00 120.00
Sites, in units of the cell vectors:
K: 0.000 0.000 0.000
Dy: 0.667 0.333 0.500
Pd: 0.333 0.667 0.500
Cl: 0.011 0.371 0.711
Cl: 0.011 0.639 0.289
Cl: 0.361 0.371 0.289
Cl: 0.361 0.989 0.711
Cl: 0.629 0.639 0.711
Cl: 0.629 0.989 0.289


4.
Compound: TlPt2W
Source: Alexandria
Functional: GGA-PBE
Structure: optimized geometry

Calculated values
Fermi-level density of states: 0.7477 states/eV per atom
E_form: -44 meV per atom
electronic total energy: -27.6 eV/f.u.

abc: 2.886 2.895 8.847
angles: 90.00 98.68 90.00
Sites, in units of the cell vectors:
Tl: 0.000 0.000 0.000
Pt: 0.096 0.500 0.710
Pt: 0.904 0.500 0.290
W: 0.500 0.000 0.500